Record 1
# Ac6Te3RhS2

An optimized crystal structure of Ac6Te3RhS2 (GGA-PBE, the Alexandria database).

a = 7.7886 Å, b = 7.7886 Å, c = 8.0696 Å
α = 99.32°, β = 99.32°, γ = 119.81°
Sites, in units of the cell vectors:
1 Ac 0.0719 0.3967 0.2170
2 Ac 0.2527 0.2527 0.7796
3 Ac 0.3967 0.0719 0.2170
4 Ac 0.6033 0.9281 0.7830
5 Ac 0.7473 0.7473 0.2204
6 Ac 0.9281 0.6033 0.7830
7 Te 0.1716 0.8284 0.5000
8 Te 0.5000 0.5000 0.5000
9 Te 0.8284 0.1716 0.5000
10 Rh 0.0000 0.0000 0.0000
11 S 0.3339 0.6661 0.0000
12 S 0.6661 0.3339 0.0000

Values from the calculation:
* volume: 402.0 Å³/cell
* size of the total moment: 0.00 μB/f.u.
* energy relative to the elements, uncorrected: -1525 meV/atom


Record 2
# Ac3TeRhS

An optimized crystal structure of Ac3TeRhS (GGA-PBE, the Alexandria database).

a = 9.4262 Å, b = 4.4948 Å, c = 10.2647 Å
α = 90.00°, β = 103.61°, γ = 90.00°
Sites, in units of the cell vectors:
1 Ac 0.0560 0.2500 0.3489
2 Ac 0.2714 0.2500 0.9788
3 Ac 0.3646 0.7500 0.6190
4 Ac 0.6354 0.2500 0.3810
5 Ac 0.7286 0.7500 0.0212
6 Ac 0.9440 0.7500 0.6511
7 Te 0.3250 0.7500 0.2702
8 Te 0.6750 0.2500 0.7298
9 Rh 0.1563 0.2500 0.6395
10 Rh 0.8437 0.7500 0.3605
11 S 0.4110 0.7500 0.8990
12 S 0.5890 0.2500 0.1010

Values from the calculation:
* volume: 422.7 Å³/cell
* size of the total moment: 0.00 μB/f.u.
* energy relative to the elements, uncorrected: -1198 meV/atom


Record 3
# Ac2TiRhS6

An optimized crystal structure of Ac2TiRhS6 (GGA-PBE, the Alexandria database).

a = 6.5970 Å, b = 9.2873 Å, c = 7.1894 Å
α = 90.00°, β = 90.00°, γ = 90.00°
Sites, in units of the cell vectors:
1 Ac 0.2500 0.0033 0.2010
2 Ac 0.2500 0.4967 0.2010
3 Ac 0.7500 0.5033 0.7990
4 Ac 0.7500 0.9967 0.7990
5 Ti 0.2500 0.7500 0.6988
6 Ti 0.7500 0.2500 0.3012
7 Rh 0.2500 0.2500 0.7465
8 Rh 0.7500 0.7500 0.2535
9 S 0.0020 0.7500 0.0124
10 S 0.0154 0.2500 0.4956
11 S 0.2500 0.5041 0.7897
12 S 0.2500 0.9959 0.7897
13 S 0.4846 0.2500 0.4956
14 S 0.4980 0.7500 0.0124
15 S 0.5020 0.2500 0.9876
16 S 0.5154 0.7500 0.5044
17 S 0.7500 0.0041 0.2103
18 S 0.7500 0.4959 0.2103
19 S 0.9846 0.7500 0.5044
20 S 0.9980 0.2500 0.9876

Values from the calculation:
* volume: 440.5 Å³/cell
* size of the total moment: 0.52 μB/f.u.
* energy relative to the elements, uncorrected: -1393 meV/atom


Record 4
# AcU4Rh3S12

An optimized crystal structure of AcU4Rh3S12 (GGA-PBE, the Alexandria database).

a = 8.3617 Å, b = 8.3617 Å, c = 8.3617 Å
α = 109.47°, β = 109.47°, γ = 109.47°
Sites, in units of the cell vectors:
1 Ac 0.0000 0.0000 0.0000
2 U 0.0000 0.0000 0.5000
3 U 0.0000 0.5000 0.0000
4 U 0.5000 0.0000 0.0000
5 U 0.5000 0.5000 0.5000
6 Rh 0.0000 0.5000 0.5000
7 Rh 0.5000 0.0000 0.5000
8 Rh 0.5000 0.5000 0.0000
9 S 0.1542 0.4629 0.3087
10 S 0.1542 0.8455 0.6913
11 S 0.1545 0.3087 0.8458
12 S 0.3087 0.1542 0.4629
13 S 0.3087 0.8458 0.1545
14 S 0.4629 0.3087 0.1542
15 S 0.5371 0.6913 0.8458
16 S 0.6913 0.1542 0.8455
17 S 0.6913 0.8458 0.5371
18 S 0.8455 0.6913 0.1542
19 S 0.8458 0.1545 0.3087
20 S 0.8458 0.5371 0.6913

Values from the calculation:
* volume: 450.1 Å³/cell
* size of the total moment: 6.01 μB/f.u.
* energy relative to the elements, uncorrected: -1048 meV/atom